TmLuCuIr after structural relaxation, computed with PBE.

POSCAR file:
```
TmLuCuIr
1.0
6.7685 0.0000 0.0000
0.0000 6.7685 0.0000
0.0000 0.0000 6.7685
Tm Lu Cu Ir
4 4 4 4
Cartesian
0.0000 0.0000 0.0000 Tm
0.0000 3.3843 3.3843 Tm
3.3843 0.0000 3.3843 Tm
3.3843 3.3843 0.0000 Tm
0.0000 0.0000 3.3843 Lu
0.0000 3.3843 0.0000 Lu
3.3843 0.0000 0.0000 Lu
3.3843 3.3843 3.3843 Lu
1.6921 1.6921 1.6921 Cu
1.6921 5.0764 5.0764 Cu
5.0764 1.6921 5.0764 Cu
5.0764 5.0764 1.6921 Cu
1.6921 1.6921 5.0764 Ir
1.6921 5.0764 1.6921 Ir
5.0764 1.6921 1.6921 Ir
5.0764 5.0764 5.0764 Ir
```

Properties
- energy of formation from the pure elements (meV/atom) = -675
- size of the total moment (Bohr magnetons per cell) = 0.00